[1]
An optimized crystal structure of PaBe2Ir, computed with PBE-GGA.

Calculated values
E_form   0.603 eV/atom
Volume   16.065 Å³/atom
Spin magnetization   0.00 μB/f.u.
Fermi-level density of states   1.02 states/eV per atom
Crystal system   trigonal
Final energy   -23.396 eV/f.u.

Lattice parameters (Å, degrees): 2.8333 2.8333 27.7289 90.00 90.00 120.00
Space group R-3m (No. 166, hexagonal axes)
Inequivalent atoms, fractional coordinates:
Pa: 0.0000 0.0000 0.0000 [3 per cell]
Be: 0.0000 0.0000 0.4218 [6 per cell]
Ir: 0.0000 0.0000 0.5000 [3 per cell]

=====

[2]
An optimized crystal structure of U5In, computed with PBE-GGA.

Calculated values
E_form   0.192 eV/atom
Volume   21.235 Å³/atom
Spin magnetization   0.00 μB/f.u.
Fermi-level density of states   2.61 states/eV per atom
Crystal system   orthorhombic
Final energy   -58.027 eV/f.u.

Lattice parameters (Å, degrees): 5.3217 15.9144 3.0088 90.00 90.00 90.00
Space group Cmmm (No. 65)
Inequivalent atoms, fractional coordinates:
U: 0.0000 0.0000 0.0000 [2 per cell]
U: 0.0000 0.1540 0.5000 [4 per cell]
U: 0.0000 0.3166 0.0000 [4 per cell]
In: 0.0000 0.5000 0.5000 [2 per cell]

=====

[3]
An optimized crystal structure of TcPbI2O, computed with PBE-GGA.

Calculated values
Energy relative to the lowest polymorph listed for this composition   0 meV/atom
Volume   25.266 Å³/atom
Spin magnetization   0.00 μB/f.u.
Fermi-level density of states   0.44 states/eV per atom
Energy relative to the elements, uncorrected   -0.28 eV/atom
Crystal system   tetragonal
Final energy   -23.518 eV/f.u.

Lattice parameters (Å, degrees): 5.7664 5.7664 3.7994 90.00 90.00 90.00
Space group P4/mmm (No. 123)
Inequivalent atoms, fractional coordinates:
Tc: 0.0000 0.0000 0.0000 [1 per cell]
Pb: 0.5000 0.5000 0.5000 [1 per cell]
I: 0.0000 0.5000 0.0000 [2 per cell]
O: 0.0000 0.0000 0.5000 [1 per cell]